# 1
An optimized crystal structure of NpCuTcSn, computed with PBE.

E ... -0.2809 hartree per atom

abc: 4.7138 4.7138 4.7138
angles: 60.00 60.00 60.00
Closest atoms and distances in Å follow each position.
Positions (direct):
Np: 0.7500 0.7500 0.7500  4 Tc 2.89, 4 Cu 2.89
Sn: 0.2500 0.2500 0.2500  4 Tc 2.89, 4 Cu 2.89
Cu: 0.5000 0.5000 0.5000  4 Sn 2.89, 4 Np 2.89
Tc: 0.0000 0.0000 0.0000  4 Np 2.89, 4 Sn 2.89


# 2
An optimized crystal structure of NpZnCuSn, computed with PBE.

E ... -0.2027 hartree per atom

abc: 4.8021 4.8021 4.8021
angles: 60.00 60.00 60.00
Closest atoms and distances in Å follow each position.
Positions (direct):
Np: 0.0000 0.0000 0.0000  4 Cu 2.94, 4 Zn 2.94
Zn: 0.7500 0.7500 0.7500  4 Sn 2.94, 4 Np 2.94
Sn: 0.5000 0.5000 0.5000  4 Zn 2.94, 4 Cu 2.94
Cu: 0.2500 0.2500 0.2500  4 Sn 2.94, 4 Np 2.94


# 3
An optimized crystal structure of SrNpCuTe3, computed with PBE.

E ... -0.2039 hartree per atom
E_form (uncorrected) ... -0.858 eV/atom

abc: 4.3640 9.2525 9.7099
angles: 103.81 90.00 90.00
Closest atoms and distances in Å follow each position.
Positions (direct):
Sr: 0.2500 0.1849 0.2417  7 Te 3.36-3.59, 1 Cu 3.64
Sr: 0.7500 0.8151 0.7583  7 Te 3.36-3.59, 1 Cu 3.64
Np: 0.2500 0.6727 0.1602  6 Te 3.08-3.14
Np: 0.7500 0.3273 0.8398  6 Te 3.08-3.14
Cu: 0.2500 0.0772 0.5785  4 Te 2.69-2.71, 2 Cu 2.84
Cu: 0.7500 0.9228 0.4215  4 Te 2.69-2.71, 2 Cu 2.84
Te: 0.7500 0.9044 0.1387  1 Cu 2.71
Te: 0.2500 0.0956 0.8613  1 Cu 2.71
Te: 0.2500 0.7792 0.4856  3 Cu 2.69-2.70
Te: 0.7500 0.2208 0.5144  3 Cu 2.69-2.70
Te: 0.7500 0.4358 0.1724  3 Np 3.11-3.14, 2 Sr 3.37
Te: 0.2500 0.5642 0.8276  3 Np 3.11-3.14, 2 Sr 3.37